## i
Crystalline TaPO5 at its relaxed geometry. Source: OQMD via LeMat-Bulk, functional PBE.

The structure in CIF format:
```
data_TaPO5
_chemical_formula_sum 'Ta8 P8 O40'
_cell_length_a 13.120
_cell_length_b 5.338
_cell_length_c 13.354
_cell_angle_alpha 90.00
_cell_angle_beta 120.36
_cell_angle_gamma 90.00
_space_group_name_H-M_alt 'P 1 21/c 1'
_space_group_IT_number 14
loop_
_space_group_symop_operation_xyz
'x,y,z'
'-x,-y,-z'
'-x,y+1/2,-z+1/2'
'x,-y+1/2,z+1/2'
loop_
_atom_site_label
_atom_site_fract_x
_atom_site_fract_y
_atom_site_fract_z
_atom_site_occupancy
Ta1 0.060 0.250 0.194 1
Ta2 0.436 0.750 0.134 1
P1 0.155 0.750 0.088 1
P2 0.343 0.250 0.435 1
O1 0.000 0.001 0.250 1
O2 0.093 0.750 0.456 1
O3 0.121 0.513 0.629 1
O4 0.122 0.513 0.129 1
O5 0.213 0.250 0.339 1
O6 0.288 0.749 0.638 1
O7 0.367 0.012 0.007 1
O8 0.367 0.015 0.508 1
O9 0.419 0.249 0.378 1
O10 0.500 0.001 0.249 1
```

## ii
Crystalline TaPO5 at its relaxed geometry. Source: OQMD via LeMat-Bulk, functional PBE.

The structure in CIF format:
```
data_TaPO5
_chemical_formula_sum 'Ta4 P4 O20'
_cell_length_a 7.479
_cell_length_b 6.931
_cell_length_c 7.401
_cell_angle_alpha 90.00
_cell_angle_beta 120.09
_cell_angle_gamma 90.00
_space_group_name_H-M_alt 'C 1 c 1'
_space_group_IT_number 9
loop_
_space_group_symop_operation_xyz
'x,y,z'
'x,-y,z+1/2'
'x+1/2,y+1/2,z'
'x+1/2,-y+1/2,z+1/2'
loop_
_atom_site_label
_atom_site_fract_x
_atom_site_fract_y
_atom_site_fract_z
_atom_site_occupancy
Ta1 0.000 0.246 0.000 1
P1 0.242 0.350 0.743 1
O1 0.081 0.478 0.565 1
O2 0.137 0.222 0.829 1
O3 0.246 0.173 0.245 1
O4 0.347 0.224 0.655 1
O5 0.405 0.475 0.923 1
```

Quick one: most stable of them? i

## i
Crystalline ZrTaPO at its relaxed geometry. Source: OQMD via LeMat-Bulk, functional PBE.

The structure in CIF format:
```
data_ZrTaPO
_chemical_formula_sum 'Zr2 Ta2 P2 O2'
_cell_length_a 3.885
_cell_length_b 3.885
_cell_length_c 7.717
_cell_angle_alpha 90.00
_cell_angle_beta 90.00
_cell_angle_gamma 90.00
_space_group_name_H-M_alt 'P 4/n m m'
_space_group_IT_number 129
loop_
_space_group_symop_operation_xyz
'x,y,z'
'-x,-y,-z'
'-y+1/2,x,z'
'y+1/2,-x,-z'
'-x+1/2,-y+1/2,z'
'x+1/2,y+1/2,-z'
'y,-x+1/2,z'
'-y,x+1/2,-z'
'x+1/2,-y,-z'
'-x+1/2,y,z'
'-y,-x,-z'
'y,x,z'
'-x,y+1/2,-z'
'x,-y+1/2,z'
'y+1/2,x+1/2,-z'
'-y+1/2,-x+1/2,z'
loop_
_atom_site_label
_atom_site_fract_x
_atom_site_fract_y
_atom_site_fract_z
_atom_site_occupancy
Zr1 0.250 0.750 0.000 1
Ta1 0.250 0.250 0.369 1
P1 0.250 0.250 0.759 1
O1 0.250 0.750 0.500 1
```

## ii
Crystalline ZrTaPO at its relaxed geometry. Source: OQMD via LeMat-Bulk, functional PBE.

The structure in CIF format:
```
data_ZrTaPO
_chemical_formula_sum 'Zr2 Ta2 P2 O2'
_cell_length_a 3.787
_cell_length_b 3.787
_cell_length_c 8.318
_cell_angle_alpha 90.00
_cell_angle_beta 90.00
_cell_angle_gamma 90.00
_space_group_name_H-M_alt 'P 4/n m m'
_space_group_IT_number 129
loop_
_space_group_symop_operation_xyz
'x,y,z'
'-x,-y,-z'
'-y+1/2,x,z'
'y+1/2,-x,-z'
'-x+1/2,-y+1/2,z'
'x+1/2,y+1/2,-z'
'y,-x+1/2,z'
'-y,x+1/2,-z'
'x+1/2,-y,-z'
'-x+1/2,y,z'
'-y,-x,-z'
'y,x,z'
'-x,y+1/2,-z'
'x,-y+1/2,z'
'y+1/2,x+1/2,-z'
'-y+1/2,-x+1/2,z'
loop_
_atom_site_label
_atom_site_fract_x
_atom_site_fract_y
_atom_site_fract_z
_atom_site_occupancy
Zr1 0.250 0.250 0.145 1
Ta1 0.250 0.750 0.500 1
P1 0.250 0.250 0.713 1
O1 0.250 0.750 0.000 1
```

## iii
Crystalline ZrTaPO at its relaxed geometry. Source: OQMD via LeMat-Bulk, functional PBE.

The structure in CIF format:
```
data_ZrTaPO
_chemical_formula_sum 'Zr2 Ta2 P2 O2'
_cell_length_a 3.417
_cell_length_b 5.956
_cell_length_c 6.150
_cell_angle_alpha 90.00
_cell_angle_beta 90.00
_cell_angle_gamma 90.00
_space_group_name_H-M_alt 'P m c 21'
_space_group_IT_number 26
loop_
_space_group_symop_operation_xyz
'x,y,z'
'-x,-y,z+1/2'
'-x,y,z'
'x,-y,z+1/2'
loop_
_atom_site_label
_atom_site_fract_x
_atom_site_fract_y
_atom_site_fract_z
_atom_site_occupancy
Zr1 0.000 0.080 0.000 1
Ta1 0.500 0.398 0.675 1
P1 0.000 0.332 0.375 1
O1 0.500 0.284 0.996 1
```

Quick one: most stable of them? ii

## i
Crystalline TbTcPO at its relaxed geometry. Source: OQMD via LeMat-Bulk, functional PBE.

The structure in CIF format:
```
data_TbTcPO
_chemical_formula_sum 'Tb2 Tc2 P2 O2'
_cell_length_a 4.402
_cell_length_b 4.284
_cell_length_c 6.457
_cell_angle_alpha 90.00
_cell_angle_beta 90.00
_cell_angle_gamma 90.00
_space_group_name_H-M_alt 'P m c 21'
_space_group_IT_number 26
loop_
_space_group_symop_operation_xyz
'x,y,z'
'-x,-y,z+1/2'
'-x,y,z'
'x,-y,z+1/2'
loop_
_atom_site_label
_atom_site_fract_x
_atom_site_fract_y
_atom_site_fract_z
_atom_site_occupancy
Tb1 0.000 0.195 0.000 1
Tc1 0.500 0.328 0.351 1
P1 0.500 0.173 0.695 1
O1 0.000 0.319 0.343 1
```

## ii
Crystalline TbTcPO at its relaxed geometry. Source: OQMD via LeMat-Bulk, functional PBE.

The structure in CIF format:
```
data_TbTcPO
_chemical_formula_sum 'Tb2 Tc2 P2 O2'
_cell_length_a 4.230
_cell_length_b 4.230
_cell_length_c 8.720
_cell_angle_alpha 90.00
_cell_angle_beta 90.00
_cell_angle_gamma 90.00
_space_group_name_H-M_alt 'P 4/n m m'
_space_group_IT_number 129
loop_
_space_group_symop_operation_xyz
'x,y,z'
'-x,-y,-z'
'-y+1/2,x,z'
'y+1/2,-x,-z'
'-x+1/2,-y+1/2,z'
'x+1/2,y+1/2,-z'
'y,-x+1/2,z'
'-y,x+1/2,-z'
'x+1/2,-y,-z'
'-x+1/2,y,z'
'-y,-x,-z'
'y,x,z'
'-x,y+1/2,-z'
'x,-y+1/2,z'
'y+1/2,x+1/2,-z'
'-y+1/2,-x+1/2,z'
loop_
_atom_site_label
_atom_site_fract_x
_atom_site_fract_y
_atom_site_fract_z
_atom_site_occupancy
Tb1 0.250 0.750 0.000 1
Tc1 0.250 0.250 0.466 1
P1 0.250 0.250 0.210 1
O1 0.250 0.750 0.500 1
```

## iii
Crystalline TbTcPO at its relaxed geometry. Source: OQMD via LeMat-Bulk, functional PBE.

The structure in CIF format:
```
data_TbTcPO
_chemical_formula_sum 'Tb2 Tc2 P2 O2'
_cell_length_a 3.923
_cell_length_b 3.923
_cell_length_c 8.320
_cell_angle_alpha 90.00
_cell_angle_beta 90.00
_cell_angle_gamma 90.00
_space_group_name_H-M_alt 'P 4/n m m'
_space_group_IT_number 129
loop_
_space_group_symop_operation_xyz
'x,y,z'
'-x,-y,-z'
'-y+1/2,x,z'
'y+1/2,-x,-z'
'-x+1/2,-y+1/2,z'
'x+1/2,y+1/2,-z'
'y,-x+1/2,z'
'-y,x+1/2,-z'
'x+1/2,-y,-z'
'-x+1/2,y,z'
'-y,-x,-z'
'y,x,z'
'-x,y+1/2,-z'
'x,-y+1/2,z'
'y+1/2,x+1/2,-z'
'-y+1/2,-x+1/2,z'
loop_
_atom_site_label
_atom_site_fract_x
_atom_site_fract_y
_atom_site_fract_z
_atom_site_occupancy
Tb1 0.250 0.250 0.134 1
Tc1 0.250 0.750 0.500 1
P1 0.250 0.250 0.664 1
O1 0.250 0.750 0.000 1
```

Quick one: most stable of them? iii

## i
Crystalline TcTePO at its relaxed geometry. Source: OQMD via LeMat-Bulk, functional PBE.

The structure in CIF format:
```
data_TcTePO
_chemical_formula_sum 'Tc2 Te2 P2 O2'
_cell_length_a 4.164
_cell_length_b 4.164
_cell_length_c 10.006
_cell_angle_alpha 90.00
_cell_angle_beta 90.00
_cell_angle_gamma 90.00
_space_group_name_H-M_alt 'P 4/n m m'
_space_group_IT_number 129
loop_
_space_group_symop_operation_xyz
'x,y,z'
'-x,-y,-z'
'-y+1/2,x,z'
'y+1/2,-x,-z'
'-x+1/2,-y+1/2,z'
'x+1/2,y+1/2,-z'
'y,-x+1/2,z'
'-y,x+1/2,-z'
'x+1/2,-y,-z'
'-x+1/2,y,z'
'-y,-x,-z'
'y,x,z'
'-x,y+1/2,-z'
'x,-y+1/2,z'
'y+1/2,x+1/2,-z'
'-y+1/2,-x+1/2,z'
loop_
_atom_site_label
_atom_site_fract_x
_atom_site_fract_y
_atom_site_fract_z
_atom_site_occupancy
Tc1 0.250 0.250 0.047 1
Te1 0.250 0.750 0.500 1
P1 0.250 0.250 0.254 1
O1 0.250 0.750 0.000 1
```

## ii
Crystalline TcTePO at its relaxed geometry. Source: OQMD via LeMat-Bulk, functional PBE.

The structure in CIF format:
```
data_TcTePO
_chemical_formula_sum 'Tc2 Te2 P2 O2'
_cell_length_a 4.191
_cell_length_b 4.191
_cell_length_c 6.984
_cell_angle_alpha 90.00
_cell_angle_beta 90.00
_cell_angle_gamma 90.00
_space_group_name_H-M_alt 'P 4/n m m'
_space_group_IT_number 129
loop_
_space_group_symop_operation_xyz
'x,y,z'
'-x,-y,-z'
'-y+1/2,x,z'
'y+1/2,-x,-z'
'-x+1/2,-y+1/2,z'
'x+1/2,y+1/2,-z'
'y,-x+1/2,z'
'-y,x+1/2,-z'
'x+1/2,-y,-z'
'-x+1/2,y,z'
'-y,-x,-z'
'y,x,z'
'-x,y+1/2,-z'
'x,-y+1/2,z'
'y+1/2,x+1/2,-z'
'-y+1/2,-x+1/2,z'
loop_
_atom_site_label
_atom_site_fract_x
_atom_site_fract_y
_atom_site_fract_z
_atom_site_occupancy
Tc1 0.250 0.750 0.000 1
Te1 0.250 0.250 0.335 1
P1 0.250 0.250 0.845 1
O1 0.250 0.750 0.500 1
```

## iii
Crystalline TcTePO at its relaxed geometry. Source: OQMD via LeMat-Bulk, functional PBE.

The structure in CIF format:
```
data_TcTePO
_chemical_formula_sum 'Tc2 Te2 P2 O2'
_cell_length_a 3.984
_cell_length_b 5.543
_cell_length_c 7.463
_cell_angle_alpha 90.00
_cell_angle_beta 90.00
_cell_angle_gamma 90.00
_space_group_name_H-M_alt 'P m c 21'
_space_group_IT_number 26
loop_
_space_group_symop_operation_xyz
'x,y,z'
'-x,-y,z+1/2'
'-x,y,z'
'x,-y,z+1/2'
loop_
_atom_site_label
_atom_site_fract_x
_atom_site_fract_y
_atom_site_fract_z
_atom_site_occupancy
Tc1 0.000 0.004 0.000 1
Te1 0.500 0.327 0.586 1
P1 0.500 0.233 0.952 1
O1 0.000 0.055 0.251 1
```

Quick one: most stable of them? iii